Record 1
# Sc2TaOs | Alexandria | PBE-GGA | optimized geometry
data_Sc2TaOs
_chemical_formula_sum 'Sc6 Ta3 Os3'
_cell_length_a 3.1333
_cell_length_b 3.1333
_cell_length_c 28.1566
_cell_angle_alpha 90.00
_cell_angle_beta 90.00
_cell_angle_gamma 120.00
_symmetry_space_group_name_H-M 'R 3 m'
_symmetry_Int_Tables_number 160
_symmetry_space_group_name_Hall 'R 3 -2"'
loop_
_atom_site_label
_atom_site_fract_x
_atom_site_fract_y
_atom_site_fract_z
Sc1 0.0000 0.0000 0.0000
Sc2 0.0000 0.0000 0.2286
Ta1 0.0000 0.0000 0.7530
Os1 0.0000 0.0000 0.4886
# - Relative energy among the computed polymorphs: 1.22 eV per formula unit
# - Total magnetic moment: 0.00 μB/cell
# - Theoretical density: 9.60 g cm⁻³
# - Energy of formation from the pure elements: 0.079 eV per atom
# - Total energy: -35.43 eV/f.u.


Record 2
# Sc2TaOs | Alexandria | PBE-GGA | optimized geometry
data_Sc2TaOs
_chemical_formula_sum 'Sc8 Ta4 Os4'
_cell_length_a 6.655
_cell_length_b 6.655
_cell_length_c 6.655
_cell_angle_alpha 90.00
_cell_angle_beta 90.00
_cell_angle_gamma 90.00
_symmetry_space_group_name_H-M 'F m -3 m'
_symmetry_Int_Tables_number 225
_symmetry_space_group_name_Hall '-F 4 2 3'
loop_
_atom_site_label
_atom_site_fract_x
_atom_site_fract_y
_atom_site_fract_z
Sc1 0.250 0.250 0.250
Ta1 0.000 0.000 0.000
Os1 0.000 0.000 0.500
# - Relative energy among the computed polymorphs: 1.49 eV per formula unit
# - Total magnetic moment: 10.51 μB/cell
# - Theoretical density: 10.39 g cm⁻³
# - Energy of formation from the pure elements: 0.147 eV per atom
# - Total energy: -35.16 eV/f.u.


Record 3
# Sc2TaOs | Alexandria | PBE-GGA | optimized geometry
data_Sc2TaOs
_chemical_formula_sum 'Sc8 Ta4 Os4'
_cell_length_a 7.742
_cell_length_b 7.742
_cell_length_c 5.441
_cell_angle_alpha 90.00
_cell_angle_beta 90.00
_cell_angle_gamma 90.00
_symmetry_space_group_name_H-M 'I -4 2 d'
_symmetry_Int_Tables_number 122
_symmetry_space_group_name_Hall 'I -4 2bw'
loop_
_atom_site_label
_atom_site_fract_x
_atom_site_fract_y
_atom_site_fract_z
Sc1 0.200 0.250 0.125
Ta1 0.000 0.000 0.500
Os1 0.000 0.000 0.000
# - Relative energy among the computed polymorphs: 2.53 eV per formula unit
# - Total magnetic moment: 0.00 μB/cell
# - Theoretical density: 9.39 g cm⁻³
# - Energy of formation from the pure elements: 0.405 eV per atom
# - Total energy: -34.13 eV/f.u.